# 1
Entry from Alexandria: crystalline LaMg2P at its relaxed geometry (GGA-PBE).

ΔE_f = -0.25 eV/atom
size of the total moment = 0.00 Bohr magnetons per cell
crystal system = tetragonal
density = 3.8 g/cm³

```
data_LaMg2P
_chemical_formula_sum 'La2 Mg4 P2'
_cell_length_a 4.648
_cell_length_b 4.648
_cell_length_c 8.792
_cell_angle_alpha 90.00
_cell_angle_beta 90.00
_cell_angle_gamma 90.00
_space_group_name_H-M_alt 'I -4 m 2'
_space_group_IT_number 119
_space_group_name_Hall 'I -4 -2'
loop_
_atom_site_label
_atom_site_fract_x
_atom_site_fract_y
_atom_site_fract_z
_atom_site_occupancy
La1 0.000 0.000 0.000 1
Mg1 0.000 0.000 0.500 1
Mg2 0.000 0.500 0.750 1
P1 0.000 0.500 0.250 1
```

# 2
Entry from Alexandria: crystalline RbCd3Pt at its relaxed geometry (GGA-PBE).

ΔE to the lowest computed polymorph = 86 meV per atom
ΔE_f = -0.16 eV/atom
size of the total moment = 0.00 Bohr magnetons per cell
crystal system = monoclinic
density = 6.7 g/cm³

```
data_RbCd3Pt
_chemical_formula_sum 'Rb4 Cd12 Pt4'
_cell_length_a 12.951
_cell_length_b 7.025
_cell_length_c 8.305
_cell_angle_alpha 90.00
_cell_angle_beta 126.37
_cell_angle_gamma 90.00
_space_group_name_H-M_alt 'C 1 m 1'
_space_group_IT_number 8
loop_
_space_group_symop_operation_xyz
'x,y,z'
'x,-y,z'
'x+1/2,y+1/2,z'
'x+1/2,-y+1/2,z'
loop_
_atom_site_label
_atom_site_fract_x
_atom_site_fract_y
_atom_site_fract_z
_atom_site_occupancy
Rb1 0.000 0.000 0.000 1
Rb2 0.046 0.500 0.763 1
Cd1 0.037 0.500 0.205 1
Cd2 0.201 0.224 0.559 1
Cd3 0.267 0.000 0.927 1
Cd4 0.351 0.254 0.264 1
Pt1 0.033 0.000 0.569 1
Pt2 0.297 0.500 0.463 1
```

# 3
Entry from Alexandria: crystalline ZnCdBr2 at its relaxed geometry (GGA-PBE).

ΔE to the lowest computed polymorph = 30 meV per atom
raw formation energy = -0.460 eV/atom
size of the total moment = 0.00 Bohr magnetons per cell
crystal system = trigonal
density = 4.1 g/cm³

```
data_ZnCdBr2
_chemical_formula_sum 'Zn3 Cd3 Br6'
_cell_length_a 3.7510
_cell_length_b 3.7510
_cell_length_c 33.5842
_cell_angle_alpha 90.00
_cell_angle_beta 90.00
_cell_angle_gamma 120.00
_space_group_name_H-M_alt 'R -3 m'
_space_group_IT_number 166
_space_group_name_Hall '-R 3 2"'
loop_
_atom_site_label
_atom_site_fract_x
_atom_site_fract_y
_atom_site_fract_z
_atom_site_occupancy
Zn1 0.0000 0.0000 0.0000 1
Cd1 0.0000 0.0000 0.5000 1
Br1 0.0000 0.0000 0.3781 1
```

# 4
Entry from Alexandria: crystalline CaCu2CF at its relaxed geometry (GGA-PBE).

raw formation energy = 1.106 eV/atom
size of the total moment = 1.14 Bohr magnetons per cell
crystal system = tetragonal
density = 2.8 g/cm³

```
data_CaCu2CF
_chemical_formula_sum 'Ca1 Cu2 C1 F1'
_cell_length_a 5.326
_cell_length_b 5.326
_cell_length_c 4.092
_cell_angle_alpha 90.00
_cell_angle_beta 90.00
_cell_angle_gamma 90.00
_space_group_name_H-M_alt 'P 4/m m m'
_space_group_IT_number 123
_space_group_name_Hall '-P 4 2'
loop_
_atom_site_label
_atom_site_fract_x
_atom_site_fract_y
_atom_site_fract_z
_atom_site_occupancy
Ca1 0.000 0.000 0.000 1
Cu1 0.000 0.500 0.000 1
C1 0.500 0.500 0.500 1
F1 0.000 0.000 0.500 1
```

# 5
Entry from Alexandria: crystalline CuSb at its relaxed geometry (GGA-PBE).

raw formation energy = 0.107 eV/atom
size of the total moment = 0.00 Bohr magnetons per cell
crystal system = orthorhombic
density = 7.5 g/cm³

```
data_CuSb
_chemical_formula_sum 'Cu8 Sb8'
_cell_length_a 5.525
_cell_length_b 7.174
_cell_length_c 8.229
_cell_angle_alpha 90.00
_cell_angle_beta 90.00
_cell_angle_gamma 90.00
_space_group_name_H-M_alt 'P 21 21 21'
_space_group_IT_number 19
loop_
_space_group_symop_operation_xyz
'x,y,z'
'-x+1/2,-y,z+1/2'
'x+1/2,-y+1/2,-z'
'-x,y+1/2,-z+1/2'
loop_
_atom_site_label
_atom_site_fract_x
_atom_site_fract_y
_atom_site_fract_z
_atom_site_occupancy
Cu1 0.036 0.166 0.131 1
Cu2 0.241 0.957 0.360 1
Sb1 0.033 0.308 0.426 1
Sb2 0.034 0.382 0.864 1
```

# 6
Entry from Alexandria: crystalline LiBi2Te2 at its relaxed geometry (GGA-PBE).

ΔE to the lowest computed polymorph = 28 meV per atom
raw formation energy = -0.128 eV/atom
size of the total moment = 0.00 Bohr magnetons per cell
crystal system = tetragonal
density = 6.4 g/cm³

```
data_LiBi2Te2
_chemical_formula_sum 'Li2 Bi4 Te4'
_cell_length_a 6.199
_cell_length_b 6.199
_cell_length_c 9.144
_cell_angle_alpha 90.00
_cell_angle_beta 90.00
_cell_angle_gamma 90.00
_space_group_name_H-M_alt 'I 4/m m m'
_space_group_IT_number 139
_space_group_name_Hall '-I 4 2'
loop_
_atom_site_label
_atom_site_fract_x
_atom_site_fract_y
_atom_site_fract_z
_atom_site_occupancy
Li1 0.000 0.000 0.000 1
Bi1 0.000 0.000 0.325 1
Te1 0.000 0.500 0.250 1
```

# 7
Entry from Alexandria: crystalline In2PbAu at its relaxed geometry (GGA-PBE).

ΔE_f = -0.04 eV/atom
size of the total moment = 0.00 Bohr magnetons per cell
crystal system = tetragonal
density = 10.3 g/cm³

```
data_In2PbAu
_chemical_formula_sum 'In2 Pb1 Au1'
_cell_length_a 3.678
_cell_length_b 3.678
_cell_length_c 7.559
_cell_angle_alpha 90.00
_cell_angle_beta 90.00
_cell_angle_gamma 90.00
_space_group_name_H-M_alt 'P 4 m m'
_space_group_IT_number 99
loop_
_space_group_symop_operation_xyz
'x,y,z'
'-y,x,z'
'-x,-y,z'
'y,-x,z'
'-x,y,z'
'y,x,z'
'x,-y,z'
'-y,-x,z'
loop_
_atom_site_label
_atom_site_fract_x
_atom_site_fract_y
_atom_site_fract_z
_atom_site_occupancy
In1 0.000 0.000 0.000 1
In2 0.500 0.500 0.262 1
Pb1 0.000 0.000 0.557 1
Au1 0.500 0.500 0.811 1
```

# 8
Entry from Alexandria: crystalline ThPaGa6 at its relaxed geometry (GGA-PBE).

ΔE_f = -0.44 eV/atom
size of the total moment = 0.00 Bohr magnetons per cell
crystal system = hexagonal
density = 9.1 g/cm³

```
data_ThPaGa6
_chemical_formula_sum 'Th1 Pa1 Ga6'
_cell_length_a 6.3943
_cell_length_b 6.3943
_cell_length_c 4.5500
_cell_angle_alpha 90.00
_cell_angle_beta 90.00
_cell_angle_gamma 120.00
_space_group_name_H-M_alt 'P -6 m 2'
_space_group_IT_number 187
_space_group_name_Hall 'P -6 2'
loop_
_atom_site_label
_atom_site_fract_x
_atom_site_fract_y
_atom_site_fract_z
_atom_site_occupancy
Th1 0.0000 0.0000 0.0000 1
Pa1 0.6667 0.3333 0.5000 1
Ga1 0.0377 0.5188 0.0000 1
Ga2 0.1893 0.3785 0.5000 1
```

# 9
Entry from Alexandria: crystalline Pr8Cu2Pd at its relaxed geometry (GGA-PBE).

ΔE to the lowest computed polymorph = 101 meV per atom
ΔE_f = -0.05 eV/atom
size of the total moment = 0.00 Bohr magnetons per cell
crystal system = monoclinic
density = 6.7 g/cm³

```
data_Pr8Cu2Pd
_chemical_formula_sum 'Pr16 Cu4 Pd2'
_cell_length_a 8.801
_cell_length_b 13.281
_cell_length_c 6.177
_cell_angle_alpha 90.00
_cell_angle_beta 110.29
_cell_angle_gamma 90.00
_space_group_name_H-M_alt 'C 1 m 1'
_space_group_IT_number 8
loop_
_space_group_symop_operation_xyz
'x,y,z'
'x,-y,z'
'x+1/2,y+1/2,z'
'x+1/2,-y+1/2,z'
loop_
_atom_site_label
_atom_site_fract_x
_atom_site_fract_y
_atom_site_fract_z
_atom_site_occupancy
Pr1 0.000 0.000 0.000 1
Pr2 0.088 0.370 0.802 1
Pr3 0.148 0.130 0.560 1
Pr4 0.241 0.500 0.379 1
Pr5 0.364 0.204 0.182 1
Cu1 0.372 0.307 0.693 1
Pd1 0.382 0.000 0.385 1
```

# 10
Entry from Alexandria: crystalline La6Sm3Tm at its relaxed geometry (GGA-PBE).

ΔE to the lowest computed polymorph = 0 meV per atom
ΔE_f = 0.06 eV/atom
size of the total moment = 0.00 Bohr magnetons per cell
crystal system = monoclinic
density = 6.8 g/cm³

```
data_La6Sm3Tm
_chemical_formula_sum 'La12 Sm6 Tm2'
_cell_length_a 11.978
_cell_length_b 3.627
_cell_length_c 17.299
_cell_angle_alpha 90.00
_cell_angle_beta 108.76
_cell_angle_gamma 90.00
_space_group_name_H-M_alt 'P 1 21/m 1'
_space_group_IT_number 11
loop_
_space_group_symop_operation_xyz
'x,y,z'
'-x,-y,-z'
'-x,y+1/2,-z'
'x,-y+1/2,z'
loop_
_atom_site_label
_atom_site_fract_x
_atom_site_fract_y
_atom_site_fract_z
_atom_site_occupancy
La1 0.100 0.250 0.458 1
La2 0.133 0.250 0.089 1
La3 0.138 0.250 0.882 1
La4 0.348 0.750 0.606 1
La5 0.371 0.750 0.824 1
La6 0.398 0.750 0.241 1
Sm1 0.131 0.750 0.285 1
Sm2 0.374 0.250 0.424 1
Sm3 0.383 0.750 0.031 1
Tm1 0.142 0.250 0.677 1
```

# 11
Entry from Alexandria: crystalline CoCu2Si at its relaxed geometry (GGA-PBE).

raw formation energy = -0.024 eV/atom
size of the total moment = 0.57 Bohr magnetons per cell
crystal system = monoclinic
density = 7.6 g/cm³

```
data_CoCu2Si
_chemical_formula_sum 'Co1 Cu2 Si1'
_cell_length_a 2.565
_cell_length_b 4.376
_cell_length_c 4.178
_cell_angle_alpha 90.00
_cell_angle_beta 92.47
_cell_angle_gamma 90.00
_space_group_name_H-M_alt 'P 1 2/m 1'
_space_group_IT_number 10
loop_
_space_group_symop_operation_xyz
'x,y,z'
'-x,-y,-z'
'-x,y,-z'
'x,-y,z'
loop_
_atom_site_label
_atom_site_fract_x
_atom_site_fract_y
_atom_site_fract_z
_atom_site_occupancy
Co1 0.000 0.000 0.000 1
Cu1 0.270 0.500 0.750 1
Si1 0.500 0.000 0.500 1
```

# 12
Entry from Alexandria: crystalline ZnNiP at its relaxed geometry (GGA-PBE).

ΔE_f = -0.13 eV/atom
size of the total moment = 0.00 Bohr magnetons per cell
crystal system = hexagonal
density = 6.2 g/cm³

```
data_ZnNiP
_chemical_formula_sum 'Zn1 Ni1 P1'
_cell_length_a 3.7708
_cell_length_b 3.7708
_cell_length_c 3.3927
_cell_angle_alpha 90.00
_cell_angle_beta 90.00
_cell_angle_gamma 120.00
_space_group_name_H-M_alt 'P -6 m 2'
_space_group_IT_number 187
_space_group_name_Hall 'P -6 2'
loop_
_atom_site_label
_atom_site_fract_x
_atom_site_fract_y
_atom_site_fract_z
_atom_site_occupancy
Zn1 0.0000 0.0000 0.0000 1
Ni1 0.6667 0.3333 0.5000 1
P1 0.3333 0.6667 0.5000 1
```

# 13
Entry from Alexandria: crystalline Pd3RhPb at its relaxed geometry (GGA-PBE).

ΔE to the lowest computed polymorph = 465 meV per atom
ΔE_f = 1.25 eV/atom
size of the total moment = 1.39 Bohr magnetons per cell
crystal system = cubic
density = 8.4 g/cm³

```
data_Pd3RhPb
_chemical_formula_sum 'Pd3 Rh1 Pb1'
_cell_length_a 4.998
_cell_length_b 4.998
_cell_length_c 4.998
_cell_angle_alpha 90.00
_cell_angle_beta 90.00
_cell_angle_gamma 90.00
_space_group_name_H-M_alt 'P m -3 m'
_space_group_IT_number 221
_space_group_name_Hall '-P 4 2 3'
loop_
_atom_site_label
_atom_site_fract_x
_atom_site_fract_y
_atom_site_fract_z
_atom_site_occupancy
Pd1 0.000 0.000 0.500 1
Rh1 0.500 0.500 0.500 1
Pb1 0.000 0.000 0.000 1
```

# 14
Entry from Alexandria: crystalline Pr3Ho6Er2Tm at its relaxed geometry (GGA-PBE).

ΔE_f = 0.02 eV/atom
size of the total moment = 0.00 Bohr magnetons per cell
crystal system = monoclinic
density = 8.3 g/cm³

```
data_Pr3Ho6Er2Tm
_chemical_formula_sum 'Pr6 Ho12 Er4 Tm2'
_cell_length_a 6.184
_cell_length_b 10.706
_cell_length_c 11.789
_cell_angle_alpha 90.00
_cell_angle_beta 100.05
_cell_angle_gamma 90.00
_space_group_name_H-M_alt 'C 1 2/m 1'
_space_group_IT_number 12
loop_
_space_group_symop_operation_xyz
'x,y,z'
'-x,-y,-z'
'-x,y,-z'
'x,-y,z'
'x+1/2,y+1/2,z'
'-x+1/2,-y+1/2,-z'
'-x+1/2,y+1/2,-z'
'x+1/2,-y+1/2,z'
loop_
_atom_site_label
_atom_site_fract_x
_atom_site_fract_y
_atom_site_fract_z
_atom_site_occupancy
Pr1 0.000 0.000 0.000 1
Pr2 0.000 0.333 0.000 1
Ho1 0.248 0.000 0.744 1
Ho2 0.248 0.333 0.744 1
Er1 0.000 0.166 0.500 1
Tm1 0.000 0.500 0.500 1
```

# 15
Entry from Alexandria: crystalline YTl3Bi at its relaxed geometry (GGA-PBE).

ΔE to the lowest computed polymorph = 93 meV per atom
ΔE_f = 0.60 eV/atom
size of the total moment = 0.00 Bohr magnetons per cell
crystal system = cubic
density = 7.5 g/cm³

```
data_YTl3Bi
_chemical_formula_sum 'Y1 Tl3 Bi1'
_cell_length_a 5.853
_cell_length_b 5.853
_cell_length_c 5.853
_cell_angle_alpha 90.00
_cell_angle_beta 90.00
_cell_angle_gamma 90.00
_space_group_name_H-M_alt 'P m -3 m'
_space_group_IT_number 221
_space_group_name_Hall '-P 4 2 3'
loop_
_atom_site_label
_atom_site_fract_x
_atom_site_fract_y
_atom_site_fract_z
_atom_site_occupancy
Y1 0.000 0.000 0.000 1
Tl1 0.000 0.500 0.500 1
Bi1 0.500 0.500 0.500 1
```

# 16
Entry from Alexandria: crystalline TaBeCu at its relaxed geometry (GGA-PBE).

ΔE to the lowest computed polymorph = 1166 meV per atom
ΔE_f = 1.07 eV/atom
size of the total moment = 0.00 Bohr magnetons per cell
crystal system = hexagonal
density = 9.2 g/cm³

```
data_TaBeCu
_chemical_formula_sum 'Ta2 Be2 Cu2'
_cell_length_a 3.3383
_cell_length_b 3.3383
_cell_length_c 9.4584
_cell_angle_alpha 90.00
_cell_angle_beta 90.00
_cell_angle_gamma 120.00
_space_group_name_H-M_alt 'P 63/m m c'
_space_group_IT_number 194
_space_group_name_Hall '-P 6c 2c'
loop_
_atom_site_label
_atom_site_fract_x
_atom_site_fract_y
_atom_site_fract_z
_atom_site_occupancy
Ta1 0.0000 0.0000 0.0000 1
Be1 0.0000 0.0000 0.2500 1
Cu1 0.3333 0.6667 0.2500 1
```

# 17
Entry from Alexandria: crystalline Dy3Tm2Mg3 at its relaxed geometry (GGA-PBE).

ΔE_f = -0.05 eV/atom
size of the total moment = 0.00 Bohr magnetons per cell
crystal system = orthorhombic
density = 6.7 g/cm³

```
data_Dy3Tm2Mg3
_chemical_formula_sum 'Dy6 Tm4 Mg6'
_cell_length_a 3.714
_cell_length_b 5.411
_cell_length_c 22.280
_cell_angle_alpha 90.00
_cell_angle_beta 90.00
_cell_angle_gamma 90.00
_space_group_name_H-M_alt 'I m m m'
_space_group_IT_number 71
_space_group_name_Hall '-I 2 2'
loop_
_atom_site_label
_atom_site_fract_x
_atom_site_fract_y
_atom_site_fract_z
_atom_site_occupancy
Dy1 0.000 0.000 0.000 1
Dy2 0.000 0.500 0.126 1
Tm1 0.000 0.000 0.235 1
Mg1 0.000 0.000 0.500 1
Mg2 0.000 0.500 0.383 1
```

# 18
Entry from Alexandria: crystalline BaAc4Tm at its relaxed geometry (GGA-PBE).

ΔE_f = 0.32 eV/atom
size of the total moment = 0.00 Bohr magnetons per cell
crystal system = cubic
density = 7.1 g/cm³

```
data_BaAc4Tm
_chemical_formula_sum 'Ba4 Ac16 Tm4'
_cell_length_a 10.413
_cell_length_b 10.413
_cell_length_c 10.413
_cell_angle_alpha 90.00
_cell_angle_beta 90.00
_cell_angle_gamma 90.00
_space_group_name_H-M_alt 'F -4 3 m'
_space_group_IT_number 216
_space_group_name_Hall 'F -4 2 3'
loop_
_atom_site_label
_atom_site_fract_x
_atom_site_fract_y
_atom_site_fract_z
_atom_site_occupancy
Ba1 0.000 0.000 0.000 1
Ac1 0.123 0.123 0.377 1
Tm1 0.250 0.250 0.750 1
```

# 19
Entry from Alexandria: crystalline InAs2H at its relaxed geometry (GGA-PBE).

ΔE to the lowest computed polymorph = 0 meV per atom
size of the total moment = 0.00 Bohr magnetons per cell
crystal system = triclinic
density = 4.7 g/cm³

```
data_InAs2H
_chemical_formula_sum 'In2 As4 H2'
_cell_length_a 4.385
_cell_length_b 5.976
_cell_length_c 8.174
_cell_angle_alpha 106.68
_cell_angle_beta 90.08
_cell_angle_gamma 111.48
_space_group_name_H-M_alt 'P 1'
_space_group_IT_number 1
loop_
_space_group_symop_operation_xyz
'x,y,z'
loop_
_atom_site_label
_atom_site_fract_x
_atom_site_fract_y
_atom_site_fract_z
_atom_site_occupancy
In1 0.000 0.000 0.000 1
In2 0.273 0.555 0.586 1
As1 0.084 0.063 0.411 1
As2 0.296 0.492 0.176 1
As3 0.355 0.705 0.951 1
As4 0.924 0.851 0.635 1
H1 0.449 0.090 0.430 1
H2 0.636 0.468 0.162 1
```

# 20
Entry from Alexandria: crystalline YTcIr at its relaxed geometry (GGA-PBE).

ΔE to the lowest computed polymorph = 397 meV per atom
ΔE_f = 0.19 eV/atom
size of the total moment = 1.95 Bohr magnetons per cell
crystal system = cubic
density = 9.8 g/cm³

```
data_YTcIr
_chemical_formula_sum 'Y4 Tc4 Ir4'
_cell_length_a 6.350
_cell_length_b 6.350
_cell_length_c 6.350
_cell_angle_alpha 90.00
_cell_angle_beta 90.00
_cell_angle_gamma 90.00
_space_group_name_H-M_alt 'F -4 3 m'
_space_group_IT_number 216
_space_group_name_Hall 'F -4 2 3'
loop_
_atom_site_label
_atom_site_fract_x
_atom_site_fract_y
_atom_site_fract_z
_atom_site_occupancy
Y1 0.000 0.000 0.000 1
Tc1 0.000 0.000 0.500 1
Ir1 0.250 0.250 0.250 1
```